[1]
An optimized crystal structure of ZnS. Source: Alexandria, functional PBE.

Output
The calculation puts the uncorrected formation energy at -0.694 eV per atom. The space group is I4/m. The volume comes out at 24.03 Å³/atom. As for the crystal system: tetragonal.

Cell: 9.959 9.959 3.877 Å, 90.00 90.00 90.00°
Fractional positions:
Zn 0.703 0.123 0.500
Zn 0.123 0.297 0.500
S 0.220 0.392 0.000
Zn 0.203 0.623 0.000
S 0.780 0.608 0.000
Zn 0.377 0.203 0.000
Zn 0.877 0.703 0.500
S 0.608 0.220 0.000
S 0.280 0.108 0.500
Zn 0.797 0.377 0.000
S 0.720 0.892 0.500
Zn 0.297 0.877 0.500
S 0.892 0.280 0.500
S 0.392 0.780 0.000
Zn 0.623 0.797 0.000
S 0.108 0.720 0.500

=====

[2]
An optimized crystal structure of TaZnSe. Source: Alexandria, functional PBE.

Output
The calculation puts the uncorrected formation energy at 0.475 eV per atom. The space group is F-43m. The offset from the most stable computed form comes out at 639 meV per atom. The volume comes out at 20.08 Å³/atom. As for the crystal system: cubic.

Cell: 4.400 4.400 4.400 Å, 60.00 60.00 60.00°
Fractional positions:
Ta 0.750 0.750 0.750
Zn 0.000 0.000 0.000
Se 0.500 0.500 0.500

=====

[3]
An optimized crystal structure of La8TbY4. Source: Alexandria, functional PBE.

Output
The space group is P-1. The volume comes out at 35.45 Å³/atom. The value obtained for the formation energy is 198 kJ/mol of formula units. As for the crystal system: triclinic.

Cell: 7.279 7.271 14.960 Å, 61.04 136.69 119.90°
Fractional positions:
La 0.916 0.248 0.711
Y 0.000 0.500 0.000
La 0.538 0.205 0.289
Y 0.000 0.000 0.000
La 0.084 0.752 0.289
La 0.462 0.247 0.711
La 0.462 0.795 0.711
La 0.836 0.790 0.629
Tb 0.000 0.500 0.500
Y 0.500 0.000 0.000
La 0.164 0.210 0.371
Y 0.500 0.500 0.000
La 0.538 0.753 0.289

=====

Density of states at the Fermi level values, unit states/eV/cell, following the record order: 0.00, 3.48, 16.76.